The following is a DFT calculation (PBE+U) of a relaxed structure of K3Zn2CoF9.

Geometry as extended XYZ:
```
15
Lattice="5.837 0.000 0.000 -2.918 5.055 0.000 0.000 0.000 7.132" Properties=species:S:1:pos:R:3 pbc="T T T"
K 0.000 0.000 0.000
K 0.000 3.370 4.753
K 2.918 1.685 2.379
Zn 0.000 3.370 1.192
Zn 2.918 1.685 5.940
Co 0.000 0.000 3.566
F -1.459 2.527 0.000
F 0.000 1.684 2.383
F -1.460 4.213 2.383
F 1.459 0.842 4.749
F 2.918 0.000 0.000
F 1.459 2.527 0.000
F 1.460 4.213 2.383
F 4.378 0.842 4.749
F 2.918 3.371 4.749
```

Output
Total energy: -64.849 eV/f.u.